# 1
First-principles (PBE) data for a geometry-optimized Sr2YTlPd structure, as listed in Alexandria via LeMat-Bulk.

Computed properties:
Volume = 213 Å³/cell
M_tot = 0.75 μB/f.u.
Calculated total energy = -15.25 eV per cell
Space group = No. 123
E_form = 0.427 eV per atom

Unit cell a=6.5640 b=6.5640 c=4.9479 alpha=90.00 beta=90.00 gamma=90.00
Positions (direct):
Sr (0.0000, 0.5000, 0.0000)
Sr (0.5000, 0.0000, 0.0000)
Y (0.0000, 0.0000, 0.0000)
Tl (0.5000, 0.5000, 0.5000)
Pd (0.0000, 0.0000, 0.5000)

***

# 2
First-principles (PBE) data for a geometry-optimized Na5B7C3 structure, as listed in Alexandria via LeMat-Bulk.

Computed properties:
Volume = 312 Å³/cell
M_tot = 0.00 μB/f.u.
E above lowest polymorph = 0.196 eV/f.u.
Calculated total energy = -158.24 eV per cell
Space group = No. 8
E_form = 0.126 eV per atom

Unit cell a=9.0651 b=9.0651 c=13.3811 alpha=112.95 beta=112.95 gamma=17.96
Positions (direct):
Na (0.0000, 0.0000, 0.0000)
Na (0.0023, 0.0023, 0.4973)
Na (0.2004, 0.2004, 0.4002)
Na (0.2026, 0.2026, 0.8988)
Na (0.3995, 0.3995, 0.8005)
Na (0.4016, 0.4016, 0.2998)
Na (0.6002, 0.6002, 0.2003)
Na (0.6043, 0.6043, 0.6959)
Na (0.7988, 0.7988, 0.6002)
Na (0.8023, 0.8023, 0.1010)
B (0.0243, 0.0243, 0.7942)
B (0.1620, 0.1620, 0.5700)
B (0.1707, 0.1707, 0.0895)
B (0.2345, 0.2345, 0.7138)
B (0.2355, 0.2355, 0.2193)
B (0.3703, 0.3703, 0.9883)
B (0.4345, 0.4345, 0.6139)
B (0.5636, 0.5636, 0.3755)
B (0.5652, 0.5652, 0.8774)
B (0.6286, 0.6286, 0.0048)
B (0.7745, 0.7745, 0.2973)
B (0.7751, 0.7751, 0.7958)
B (0.8423, 0.8423, 0.4315)
B (0.9665, 0.9665, 0.1817)
C (0.0314, 0.0314, 0.3121)
C (0.3719, 0.3719, 0.4898)
C (0.4346, 0.4346, 0.1177)
C (0.6296, 0.6296, 0.5062)
C (0.8382, 0.8382, 0.9232)
C (0.9651, 0.9651, 0.6744)

***

# 3
First-principles (PBE) data for a geometry-optimized TbHo3Ni2 structure, as listed in Alexandria via LeMat-Bulk.

Computed properties:
Volume = 293 Å³/cell
M_tot = 0.00 μB/f.u.
Calculated total energy = -63.43 eV per cell
Space group = No. 12
E_form = -0.298 eV per atom

Unit cell a=8.2318 b=8.2318 c=11.3243 alpha=122.33 beta=122.33 gamma=27.23
Positions (direct):
Tb (0.1534, 0.1534, 0.2455)
Tb (0.8466, 0.8466, 0.7545)
Ho (0.1542, 0.1542, 0.7463)
Ho (0.4173, 0.4173, 0.0602)
Ho (0.4179, 0.4179, 0.5585)
Ho (0.5821, 0.5821, 0.4415)
Ho (0.5827, 0.5827, 0.9398)
Ho (0.8458, 0.8458, 0.2537)
Ni (0.2314, 0.2314, 0.5506)
Ni (0.2315, 0.2315, 0.0501)
Ni (0.7685, 0.7685, 0.9499)
Ni (0.7686, 0.7686, 0.4494)

***

# 4
First-principles (PBE) data for a geometry-optimized Sr2ScBr structure, as listed in Alexandria via LeMat-Bulk.

Computed properties:
Volume = 149 Å³/cell
Formation energy from raw total energies = -302 meV/atom
M_tot = 0.00 μB/f.u.
E above lowest polymorph = 0.897 eV/f.u.
Calculated total energy = -12.58 eV per cell
Space group = No. 6

Unit cell a=3.8143 b=6.1834 c=6.3065 alpha=90.00 beta=91.52 gamma=90.00
Positions (direct):
Sr (0.0000, 0.0000, 0.0000)
Sr (0.0081, 0.5000, 0.4807)
Sc (0.5087, 0.0000, 0.4957)
Br (0.5595, 0.5000, 0.9167)

***

Among the records above, which one has the highest volume?
Na5B7C3

***

calculated total energy of number 2 (Na5B7C3)?
-158.24 eV per cell

***

Which value of M_tot does entry 1 give?
0.75 μB/f.u.

***

What is the formula in the first record?
Sr2YTlPd